# CsLiBeF4 (SCAN, PBEsol geometry)
# Crystal system ... monoclinic
# Energy relative to the elements, uncorrected ... -3.3104 eV/atom
data_CsLiBeF4
_chemical_formula_sum 'Cs4 Li4 Be4 F16'
_cell_length_a 5.337
_cell_length_b 8.805
_cell_length_c 10.592
_cell_angle_alpha 90.00
_cell_angle_beta 119.98
_cell_angle_gamma 90.00
_space_group_name_H-M_alt 'P 1 21/c 1'
_space_group_IT_number 14
_space_group_name_Hall '-P 2ybc'
loop_
_atom_site_label
_atom_site_type_symbol
_atom_site_fract_x
_atom_site_fract_y
_atom_site_fract_z
Cs1 Cs 0.023 0.003 0.269
Li1 Li 0.338 0.687 0.583
Be1 Be 0.330 0.199 0.083
F1 F 0.025 0.248 0.460
F2 F 0.341 0.022 0.088
F3 F 0.380 0.243 0.733
F4 F 0.432 0.739 0.948



# BaLaP (SCAN, PBEsol geometry)
# Crystal system ... trigonal
# Formation energy from the elements ... -0.99 eV per atom
# Offset from the most stable computed form ... 0.000 eV/atom
data_BaLaP
_chemical_formula_sum 'Ba1 La1 P1'
_cell_length_a 4.2499
_cell_length_b 4.2499
_cell_length_c 7.4367
_cell_angle_alpha 90.00
_cell_angle_beta 90.00
_cell_angle_gamma 120.00
_space_group_name_H-M_alt 'P 3 m 1'
_space_group_IT_number 156
_space_group_name_Hall 'P 3 -2"'
loop_
_atom_site_label
_atom_site_type_symbol
_atom_site_fract_x
_atom_site_fract_y
_atom_site_fract_z
Ba1 Ba 0.0000 0.0000 0.0000
La1 La 0.3333 0.6667 0.4635
P1 P 0.6667 0.3333 0.2695



# CdCu2W (SCAN, PBEsol geometry)
# Crystal system ... tetragonal
# Formation energy from the elements ... 0.76 eV per atom
data_CdCu2W
_chemical_formula_sum 'Cd2 Cu4 W2'
_cell_length_a 3.864
_cell_length_b 3.864
_cell_length_c 7.773
_cell_angle_alpha 90.00
_cell_angle_beta 90.00
_cell_angle_gamma 90.00
_space_group_name_H-M_alt 'I -4 m 2'
_space_group_IT_number 119
_space_group_name_Hall 'I -4 -2'
loop_
_atom_site_label
_atom_site_type_symbol
_atom_site_fract_x
_atom_site_fract_y
_atom_site_fract_z
Cd1 Cd 0.000 0.000 0.000
Cu1 Cu 0.000 0.000 0.500
Cu2 Cu 0.000 0.500 0.250
W1 W 0.000 0.500 0.750



# Ti6O11 (SCAN, PBEsol geometry)
# Crystal system ... monoclinic
# Energy relative to the elements, uncorrected ... -3.2766 eV/atom
# Offset from the most stable computed form ... 0.011 eV/atom
data_Ti6O11
_chemical_formula_sum 'Ti24 O44'
_cell_length_a 9.828
_cell_length_b 3.738
_cell_length_c 20.852
_cell_angle_alpha 90.00
_cell_angle_beta 92.68
_cell_angle_gamma 90.00
_space_group_name_H-M_alt 'C 1 2/m 1'
_space_group_IT_number 12
_space_group_name_Hall '-C 2y'
loop_
_atom_site_label
_atom_site_type_symbol
_atom_site_fract_x
_atom_site_fract_y
_atom_site_fract_z
Ti1 Ti 0.027 0.000 0.147
Ti2 Ti 0.052 0.000 0.439
Ti3 Ti 0.092 0.000 0.296
Ti4 Ti 0.139 0.000 0.975
Ti5 Ti 0.221 0.000 0.608
Ti6 Ti 0.242 0.000 0.797
O1 O 0.050 0.000 0.057
O2 O 0.050 0.000 0.648
O3 O 0.059 0.000 0.767
O4 O 0.073 0.500 0.155
O5 O 0.091 0.500 0.430
O6 O 0.133 0.000 0.528
O7 O 0.159 0.500 0.293
O8 O 0.163 0.000 0.880
O9 O 0.177 0.500 0.980
O10 O 0.207 0.000 0.210
O11 O 0.230 0.000 0.378



Result set for VASP energy: -81.9 -96.0 -127.5 -220.4 eV per formula unit, one per record in the order listed.